KSnI2Br | PBE | optimized geometry

a = 6.2606 Å, b = 6.2606 Å, c = 5.8043 Å
α = 90.00°, β = 90.00°, γ = 90.00°
Closest atoms and distances in Å follow each position.
Positions (direct):
K  0.0000  0.0000  0.0000  8 I 4.27, 4 Br 4.43
Sn  0.5000  0.5000  0.5000  2 Br 2.90, 4 I 3.13
I  0.0000  0.5000  0.5000  2 Sn 3.13
I  0.5000  0.0000  0.5000  2 Sn 3.13
Br  0.5000  0.5000  0.0000  2 Sn 2.90

Calculated values
E_form (uncorrected): -4.62 eV/f.u.
density of states at the Fermi level: 0.0 states/eV/f.u.
VASP energy: -2.900 eV/atom
symmetry: P4/mmm



YU2In9 | PBE | optimized geometry

a = 4.6346 Å, b = 4.6346 Å, c = 13.9170 Å
α = 90.00°, β = 90.00°, γ = 90.00°
Closest atoms and distances in Å follow each position.
Positions (direct):
Y  0.0000  0.0000  0.0000  12 In 3.28-3.29
U  0.0000  0.0000  0.3327  12 In 3.27-3.28
U  0.0000  0.0000  0.6673  12 In 3.27-3.28
In  0.0000  0.5000  0.1673  2 U 3.27, 8 In 3.28-3.29, 2 Y 3.29
In  0.0000  0.5000  0.5000  8 In 3.27-3.28, 4 U 3.28
In  0.0000  0.5000  0.8327  2 U 3.27, 8 In 3.28-3.29, 2 Y 3.29
In  0.5000  0.0000  0.1673  2 U 3.27, 8 In 3.28-3.29, 2 Y 3.29
In  0.5000  0.0000  0.5000  8 In 3.27-3.28, 4 U 3.28
In  0.5000  0.0000  0.8327  2 U 3.27, 8 In 3.28-3.29, 2 Y 3.29
In  0.5000  0.5000  0.0000  4 Y 3.28, 8 In 3.29
In  0.5000  0.5000  0.3340  8 In 3.27-3.28, 4 U 3.28
In  0.5000  0.5000  0.6660  8 In 3.27-3.28, 4 U 3.28

Calculated values
density of states at the Fermi level: 12.2 states/eV/f.u.
VASP energy: -4.619 eV/atom
energy relative to the elements: -0.14 eV per atom
symmetry: P4/mmm



Sr2AcPrSe4 | PBE | optimized geometry

a = 7.5682 Å, b = 4.3734 Å, c = 7.7089 Å
α = 90.00°, β = 109.09°, γ = 90.00°
Closest atoms and distances in Å follow each position.
Positions (direct):
Sr  0.0000  0.0000  0.0000  6 Se 3.14
Sr  0.5000  0.5000  0.0000  6 Se 3.09
Ac  0.0000  0.5000  0.5000  6 Se 3.13
Pr  0.5000  0.0000  0.5000  6 Se 3.08
Se  0.2559  0.0000  0.7509  1 Pr 3.08, 3 Sr 3.09-3.14, 2 Ac 3.13
Se  0.2561  0.5000  0.2530  2 Pr 3.08, 3 Sr 3.09-3.14, 1 Ac 3.13
Se  0.7441  0.0000  0.2491  1 Pr 3.08, 3 Sr 3.09-3.14, 2 Ac 3.13
Se  0.7439  0.5000  0.7470  2 Pr 3.08, 3 Sr 3.09-3.14, 1 Ac 3.13

Calculated values
E_form (uncorrected): -15.42 eV/f.u.
density of states at the Fermi level: 3.7 states/eV/f.u.
VASP energy: -5.201 eV/atom
symmetry: P2/m



Cs2HgAu2I6 | PBE | optimized geometry

a = 9.0333 Å, b = 9.0333 Å, c = 8.4945 Å
α = 117.08°, β = 117.08°, γ = 55.33°
Closest atoms and distances in Å follow each position.
Positions (direct):
Cs  0.2433  0.2433  0.2322  7 I 3.99-4.22, 1 Au 4.13
Cs  0.7567  0.7567  0.7678  7 I 3.99-4.22, 1 Au 4.13
Hg  0.0000  0.0000  0.5000  4 I 2.99
Au  0.4346  0.4346  0.7920  3 I 2.68-2.78
Au  0.5654  0.5654  0.2080  3 I 2.68-2.78
I  0.2003  0.7112  0.2110  1 Au 2.78, 1 Hg 2.99
I  0.2484  0.2484  0.7063  1 Au 2.68
I  0.2888  0.7997  0.7890  1 Au 2.78, 1 Hg 2.99
I  0.7112  0.2003  0.2110  1 Au 2.78, 1 Hg 2.99
I  0.7516  0.7516  0.2937  1 Au 2.68
I  0.7997  0.2888  0.7890  1 Au 2.78, 1 Hg 2.99

Calculated values
E_form (uncorrected): -6.81 eV/f.u.
density of states at the Fermi level: 1.5 states/eV/f.u.
VASP energy: -2.243 eV/atom
symmetry: C2/m



SrLiH6Ir | PBE | optimized geometry

a = 4.8656 Å, b = 4.8656 Å, c = 4.8020 Å
α = 90.00°, β = 90.00°, γ = 120.00°
Closest atoms and distances in Å follow each position.
Positions (direct):
Sr  0.0000  0.0000  0.0000  6 H 2.36
Li  0.3333  0.6667  0.5000  6 H 1.95
H  0.4103  0.0427  0.7078  1 Ir 1.67
H  0.4103  0.3676  0.2922  1 Ir 1.67
H  0.6324  0.0427  0.2922  1 Ir 1.67
H  0.6324  0.5897  0.7078  1 Ir 1.67
H  0.9573  0.3676  0.7078  1 Ir 1.67
H  0.9573  0.5897  0.2922  1 Ir 1.67
Ir  0.6667  0.3333  0.5000  6 H 1.67

Calculated values
density of states at the Fermi level: 0.0 states/eV/f.u.
VASP energy: -4.097 eV/atom
symmetry: P312



Dy4Si2Ge5 | PBE | optimized geometry

a = 6.8953 Å, b = 4.1297 Å, c = 8.0857 Å
α = 90.00°, β = 93.01°, γ = 90.00°
Closest atoms and distances in Å follow each position.
Positions (direct):
Dy  0.2288  0.0000  0.3702  8 Ge 2.94-3.22, 2 Si 2.97
Dy  0.2428  0.0000  0.8921  6 Ge 3.02-3.24, 4 Si 3.05-3.07
Dy  0.7572  0.0000  0.1079  6 Ge 3.02-3.24, 4 Si 3.05-3.07
Dy  0.7712  0.0000  0.6298  8 Ge 2.94-3.22, 2 Si 2.97
Si  0.0879  0.5000  0.1286  1 Si 2.35, 2 Ge 2.47-2.54
Si  0.9121  0.5000  0.8714  1 Si 2.35, 2 Ge 2.47-2.54
Ge  0.1294  0.5000  0.6271  1 Si 2.54, 2 Ge 2.65-2.80
Ge  0.4466  0.5000  0.1570  1 Si 2.47, 1 Ge 2.68
Ge  0.5000  0.5000  0.5000  4 Ge 2.78-2.80, 4 Dy 2.94
Ge  0.5534  0.5000  0.8430  1 Si 2.47, 1 Ge 2.68
Ge  0.8706  0.5000  0.3729  1 Si 2.54, 2 Ge 2.65-2.80

Calculated values
E_form (uncorrected): -7.45 eV/f.u.
density of states at the Fermi level: 2.9 states/eV/f.u.
VASP energy: -5.435 eV/atom
symmetry: P2/m



ErTm12Sc6 | PBE | optimized geometry

a = 8.1227 Å, b = 8.8608 Å, c = 9.2611 Å
α = 79.79°, β = 65.77°, γ = 62.86°
Closest atoms and distances in Å follow each position.
Positions (direct):
Er  0.0000  0.0000  0.0000  2 Sc 3.18, 4 Tm 3.29-3.37
Tm  0.0654  0.0650  0.6147  5 Tm 3.29-3.60, 5 Sc 3.34-3.50, 1 Er 3.37
Tm  0.1831  0.3778  0.8715  5 Tm 3.06-3.36, 4 Sc 3.36-3.38
Tm  0.2222  0.3753  0.5094  6 Tm 3.24-3.52, 5 Sc 3.27-3.62
Tm  0.2503  0.5550  0.1450  7 Tm 3.31-3.61, 4 Sc 3.37-3.56
Tm  0.4208  0.8486  0.0566  5 Tm 3.20-3.41, 1 Er 3.29, 2 Sc 3.38-3.51
Tm  0.4742  0.0067  0.6889  8 Tm 3.30-3.52, 3 Sc 3.35-3.45
Tm  0.5258  0.9933  0.3111  8 Tm 3.30-3.52, 3 Sc 3.35-3.45
Tm  0.5792  0.1514  0.9434  5 Tm 3.20-3.41, 1 Er 3.29, 2 Sc 3.38-3.51
Tm  0.7497  0.4450  0.8550  7 Tm 3.31-3.61, 4 Sc 3.37-3.56
Tm  0.7778  0.6247  0.4906  6 Tm 3.24-3.52, 5 Sc 3.27-3.62
Tm  0.8169  0.6222  0.1285  5 Tm 3.06-3.36, 4 Sc 3.36-3.38
Tm  0.9346  0.9350  0.3853  5 Tm 3.29-3.60, 5 Sc 3.34-3.50, 1 Er 3.37
Sc  0.0881  0.2422  0.2498  2 Sc 3.30-3.59, 10 Tm 3.34-3.63
Sc  0.3376  0.6879  0.7685  3 Sc 3.14-3.30, 1 Er 3.18, 6 Tm 3.29-3.50
Sc  0.3743  0.6766  0.4196  3 Sc 3.14-3.35, 7 Tm 3.27-3.47
Sc  0.6257  0.3234  0.5804  3 Sc 3.14-3.35, 7 Tm 3.27-3.47
Sc  0.6624  0.3121  0.2315  3 Sc 3.14-3.30, 1 Er 3.18, 6 Tm 3.29-3.50
Sc  0.9119  0.7578  0.7502  2 Sc 3.30-3.59, 10 Tm 3.34-3.63

Calculated values
density of states at the Fermi level: 33.7 states/eV/f.u.
VASP energy: -4.987 eV/atom
energy relative to the elements: 0.08 eV per atom
symmetry: P-1



TlGaO2 | PBE | optimized geometry

a = 5.5885 Å, b = 5.5885 Å, c = 5.5885 Å
α = 108.22°, β = 108.22°, γ = 112.00°
Closest atoms and distances in Å follow each position.
Positions (direct):
Tl  0.2500  0.7500  0.5000  4 O 2.21
Tl  0.7500  0.2500  0.5000  4 O 2.21
Ga  0.2500  0.2500  0.0000  8 O 2.89, 2 Ga 3.13
Ga  0.7500  0.7500  0.0000  8 O 2.89, 2 Ga 3.13
O  0.1690  0.6690  0.8380  2 Tl 2.21
O  0.3310  0.1690  0.5000  2 Tl 2.21
O  0.6690  0.8310  0.5000  2 Tl 2.21
O  0.8310  0.3310  0.1620  2 Tl 2.21

Calculated values
E_form (uncorrected): -1.34 eV/f.u.
density of states at the Fermi level: 0.0 states/eV/f.u.
VASP energy: -4.162 eV/atom
symmetry: I4/mcm



Nd2MgNi3Pt12 | PBE | optimized geometry

a = 7.7286 Å, b = 7.7286 Å, c = 7.7286 Å
α = 64.37°, β = 64.37°, γ = 64.37°
Closest atoms and distances in Å follow each position.
Positions (direct):
Nd  0.1104  0.1104  0.1104  6 Pt 2.81-2.83
Nd  0.8896  0.8896  0.8896  6 Pt 2.81-2.83
Mg  0.5000  0.5000  0.5000  6 Pt 2.55
Ni  0.0000  0.5000  0.5000  6 Pt 2.41-2.43
Ni  0.5000  0.0000  0.5000  6 Pt 2.41-2.43
Ni  0.5000  0.5000  0.0000  6 Pt 2.41-2.43
Pt  0.1191  0.6382  0.6382  1 Ni 2.41, 1 Mg 2.55
Pt  0.1353  0.1353  0.6106  2 Ni 2.43
Pt  0.1353  0.6106  0.1353  2 Ni 2.43
Pt  0.3618  0.3618  0.8809  1 Ni 2.41, 1 Mg 2.55
Pt  0.3618  0.8809  0.3618  1 Ni 2.41, 1 Mg 2.55
Pt  0.3894  0.8647  0.8647  2 Ni 2.43
Pt  0.6106  0.1353  0.1353  2 Ni 2.43
Pt  0.6382  0.1191  0.6382  1 Ni 2.41, 1 Mg 2.55
Pt  0.6382  0.6382  0.1191  1 Ni 2.41, 1 Mg 2.55
Pt  0.8647  0.3894  0.8647  2 Ni 2.43
Pt  0.8647  0.8647  0.3894  2 Ni 2.43
Pt  0.8809  0.3618  0.3618  1 Ni 2.41, 1 Mg 2.55

Calculated values
density of states at the Fermi level: 15.6 states/eV/f.u.
VASP energy: -5.667 eV/atom
energy relative to the elements: -0.06 eV per atom
symmetry: R-3m



Tb5Y3Er2 | PBE | optimized geometry

a = 10.9623 Å, b = 10.9623 Å, c = 10.9623 Å
α = 119.00°, β = 72.67°, γ = 144.40°
Closest atoms and distances in Å follow each position.
Positions (direct):
Tb  0.0670  0.7500  0.3170  1 Y 3.23, 4 Tb 3.30-3.35
Tb  0.1696  0.1023  0.2719  1 Er 3.11, 2 Tb 3.30, 1 Y 3.48
Tb  0.2500  0.2500  0.0000  6 Tb 3.35-3.62, 4 Er 3.41
Tb  0.3304  0.6023  0.9328  1 Er 3.11, 2 Tb 3.30, 1 Y 3.48
Tb  0.4330  0.7500  0.6830  1 Y 3.23, 4 Tb 3.30-3.35
Tb  0.5670  0.2500  0.3170  1 Y 3.23, 4 Tb 3.30-3.35
Tb  0.6696  0.3977  0.0672  1 Er 3.11, 2 Tb 3.30, 1 Y 3.48
Tb  0.7500  0.7500  0.0000  6 Tb 3.35-3.62, 4 Er 3.41
Tb  0.8304  0.8977  0.7281  1 Er 3.11, 2 Tb 3.30, 1 Y 3.48
Tb  0.9330  0.2500  0.6830  1 Y 3.23, 4 Tb 3.30-3.35
Y  0.1698  0.7900  0.9598  8 Tb 3.48-3.88, 1 Er 3.51
Y  0.2500  0.7500  0.5000  4 Er 3.15, 2 Tb 3.23, 2 Y 3.35
Y  0.3302  0.2900  0.6202  8 Tb 3.48-3.88, 1 Er 3.51
Y  0.6698  0.7100  0.3798  8 Tb 3.48-3.88, 1 Er 3.51
Y  0.7500  0.2500  0.5000  4 Er 3.15, 2 Tb 3.23, 2 Y 3.35
Y  0.8302  0.2100  0.0402  8 Tb 3.48-3.88, 1 Er 3.51
Er  0.0260  0.2636  0.2896  3 Tb 3.11-3.41, 2 Y 3.15, 2 Er 3.47
Er  0.4740  0.7636  0.2376  3 Tb 3.11-3.41, 2 Y 3.15, 2 Er 3.47
Er  0.5260  0.2364  0.7624  3 Tb 3.11-3.41, 2 Y 3.15, 2 Er 3.47
Er  0.9740  0.7364  0.7104  3 Tb 3.11-3.41, 2 Y 3.15, 2 Er 3.47

Calculated values
density of states at the Fermi level: 16.2 states/eV/f.u.
VASP energy: -4.902 eV/atom
energy relative to the elements: 0.26 eV per atom
symmetry: Ibam



CaBW2 | PBE | optimized geometry

a = 6.7937 Å, b = 6.7937 Å, c = 6.7937 Å
α = 129.37°, β = 129.37°, γ = 74.42°
Closest atoms and distances in Å follow each position.
Positions (direct):
Ca  0.3750  0.6250  0.7500  8 W 3.52
Ca  0.6250  0.3750  0.2500  8 W 3.52
B  0.1250  0.8750  0.2500  4 W 1.98
B  0.8750  0.1250  0.7500  4 W 1.98
W  0.0000  0.0000  0.0000  2 B 1.98
W  0.0000  0.0000  0.5000  2 B 1.98
W  0.0000  0.5000  0.0000  2 B 1.98
W  0.5000  0.0000  0.5000  2 B 1.98

Calculated values
density of states at the Fermi level: 4.7 states/eV/f.u.
VASP energy: -7.375 eV/atom
energy relative to the elements: 1.27 eV per atom
symmetry: I4_1/amd



LiMn2TlSe4 | PBE | optimized geometry

a = 6.7602 Å, b = 6.7602 Å, c = 13.6478 Å
α = 90.00°, β = 90.00°, γ = 146.53°
Closest atoms and distances in Å follow each position.
Positions (direct):
Li  0.1694  0.8306  0.7500  4 Se 2.39-2.42
Li  0.8306  0.1694  0.2500  4 Se 2.39-2.42
Mn  0.3694  0.6306  0.0635  6 Se 2.59-2.72
Mn  0.3694  0.6306  0.4365  6 Se 2.59-2.72
Mn  0.6306  0.3694  0.5635  6 Se 2.59-2.72
Mn  0.6306  0.3694  0.9365  6 Se 2.59-2.72
Tl  0.1175  0.8825  0.2500  6 Se 3.04-3.26, 2 Li 3.38
Tl  0.8825  0.1175  0.7500  6 Se 3.04-3.26, 2 Li 3.38
Se  0.0000  0.0000  0.0000  4 Mn 2.72
Se  0.0000  0.0000  0.5000  4 Mn 2.72
Se  0.2622  0.7378  0.5965  1 Li 2.42, 3 Mn 2.59-2.63
Se  0.2622  0.7378  0.9035  1 Li 2.42, 3 Mn 2.59-2.63
Se  0.4377  0.5623  0.2500  2 Li 2.39
Se  0.5623  0.4377  0.7500  2 Li 2.39
Se  0.7378  0.2622  0.0965  1 Li 2.42, 3 Mn 2.59-2.63
Se  0.7378  0.2622  0.4035  1 Li 2.42, 3 Mn 2.59-2.63

Calculated values
E_form (uncorrected): -3.90 eV/f.u.
density of states at the Fermi level: 3.0 states/eV/f.u.
VASP energy: -5.057 eV/atom
symmetry: Cmcm